[1]
VASP calculation (GGA-PBE) on crystalline CaNi2Pt at its relaxed geometry.

Cell: 2.8621 2.8621 26.3529 Å, 90.00 90.00 120.00°
Space group R-3m (No. 166, hexagonal axes)
Symmetry-distinct sites (fractional):
Ca: 0.0000 0.0000 0.0000 (multiplicity 3)
Ni: 0.0000 0.0000 0.2453 (multiplicity 6)
Pt: 0.0000 0.0000 0.5000 (multiplicity 3)

Calculated values
- energy (eV/cell) = -54.49
- ΔE_f (eV per atom) = 0.361

[2]
VASP calculation (GGA-PBE) on crystalline CaNiPt3 at its relaxed geometry.

Cell: 4.650 4.650 4.650 Å, 90.00 90.00 90.00°
Space group Pm-3m (No. 221)
Symmetry-distinct sites (fractional):
Ca: 0.000 0.000 0.000 (multiplicity 1)
Ni: 0.500 0.500 0.500 (multiplicity 1)
Pt: 0.000 0.500 0.500 (multiplicity 3)

Calculated values
- ΔE to the lowest computed polymorph (kJ per mole of atoms) = 0.00
- energy (eV/cell) = -25.37
- ΔE_f (eV per atom) = 0.107

[3]
VASP calculation (GGA-PBE) on crystalline Ca2NiPt2 at its relaxed geometry.

Cell: 6.775 6.775 4.395 Å, 90.00 90.00 90.00°
Space group P4/mbm (No. 127)
Symmetry-distinct sites (fractional):
Ca: 0.174 0.326 0.000 (multiplicity 4)
Ni: 0.000 0.000 0.500 (multiplicity 2)
Pt: 0.139 0.639 0.500 (multiplicity 4)

Calculated values
- energy (eV/cell) = -49.63
- ΔE_f (eV per atom) = -0.590

Question: Look up the energy of the third one.
Answer: -49.63 eV/cell

Question: Which of these has the lowest energy?
Answer: CaNi2Pt